1.
# BeWIO2, optimized geometry, DFT PBE with a Hubbard U
data_BeWIO2
_chemical_formula_sum 'Be1 W1 I1 O2'
_space_group_name_H-M_alt 'P 4/m m m'
_space_group_IT_number 123
_space_group_name_Hall '-P 4 2'
_cell_length_a 3.882
_cell_length_b 3.882
_cell_length_c 7.885
_cell_angle_alpha 90.00
_cell_angle_beta 90.00
_cell_angle_gamma 90.00
loop_
_atom_site_label
_atom_site_fract_x
_atom_site_fract_y
_atom_site_fract_z
_atom_site_occupancy
Be1 0.000 0.000 0.000 1
W1 0.500 0.500 0.500 1
I1 0.500 0.500 0.000 1
O1 0.000 0.500 0.500 1
# Excess energy over the best structure of this formula in the dataset, meV/atom: 0
# Total magnetic moment, μB per atom: 0.40

2.
# BeWI2O, optimized geometry, DFT PBE with a Hubbard U
data_BeWI2O
_chemical_formula_sum 'Be1 W1 I2 O1'
_space_group_name_H-M_alt 'P 4/m m m'
_space_group_IT_number 123
_space_group_name_Hall '-P 4 2'
_cell_length_a 6.656
_cell_length_b 6.656
_cell_length_c 2.942
_cell_angle_alpha 90.00
_cell_angle_beta 90.00
_cell_angle_gamma 90.00
loop_
_atom_site_label
_atom_site_fract_x
_atom_site_fract_y
_atom_site_fract_z
_atom_site_occupancy
Be1 0.000 0.000 0.000 1
W1 0.500 0.500 0.500 1
I1 0.000 0.500 0.000 1
O1 0.000 0.000 0.500 1
# Excess energy over the best structure of this formula in the dataset, meV/atom: 0
# Total magnetic moment, μB per atom: 0.83

3.
# BeWI2O, optimized geometry, DFT PBE with a Hubbard U
data_BeWI2O
_chemical_formula_sum 'Be1 W1 I2 O1'
_space_group_name_H-M_alt 'P 4/m m m'
_space_group_IT_number 123
_space_group_name_Hall '-P 4 2'
_cell_length_a 5.904
_cell_length_b 5.904
_cell_length_c 3.888
_cell_angle_alpha 90.00
_cell_angle_beta 90.00
_cell_angle_gamma 90.00
loop_
_atom_site_label
_atom_site_fract_x
_atom_site_fract_y
_atom_site_fract_z
_atom_site_occupancy
Be1 0.000 0.000 0.000 1
W1 0.500 0.500 0.500 1
I1 0.000 0.500 0.500 1
O1 0.500 0.500 0.000 1
# Excess energy over the best structure of this formula in the dataset, meV/atom: 238
# Total magnetic moment, μB per atom: 0.42

4.
# BeWIO2, optimized geometry, DFT PBE with a Hubbard U
data_BeWIO2
_chemical_formula_sum 'Be1 W1 I1 O2'
_space_group_name_H-M_alt 'P 4/m m m'
_space_group_IT_number 123
_space_group_name_Hall '-P 4 2'
_cell_length_a 3.914
_cell_length_b 3.914
_cell_length_c 4.892
_cell_angle_alpha 90.00
_cell_angle_beta 90.00
_cell_angle_gamma 90.00
loop_
_atom_site_label
_atom_site_fract_x
_atom_site_fract_y
_atom_site_fract_z
_atom_site_occupancy
Be1 0.000 0.000 0.000 1
W1 0.500 0.500 0.500 1
I1 0.000 0.000 0.500 1
O1 0.000 0.500 0.000 1
# Excess energy over the best structure of this formula in the dataset, meV/atom: 799
# Total magnetic moment, μB per atom: 0.60

5.
# BeW2IO, optimized geometry, DFT PBE with a Hubbard U
data_BeW2IO
_chemical_formula_sum 'Be1 W2 I1 O1'
_space_group_name_H-M_alt 'P 4/m m m'
_space_group_IT_number 123
_space_group_name_Hall '-P 4 2'
_cell_length_a 5.600
_cell_length_b 5.600
_cell_length_c 3.927
_cell_angle_alpha 90.00
_cell_angle_beta 90.00
_cell_angle_gamma 90.00
loop_
_atom_site_label
_atom_site_fract_x
_atom_site_fract_y
_atom_site_fract_z
_atom_site_occupancy
Be1 0.000 0.000 0.000 1
W1 0.000 0.500 0.500 1
I1 0.500 0.500 0.500 1
O1 0.500 0.500 0.000 1
# Total magnetic moment, μB per atom: 1.50
# Total energy, eV per atom: -3.023